# PBE CaTb12Ho7, optimized geometry
# DFT formation energy, eV per formula unit: 13.53
data_CaTb12Ho7
_chemical_formula_sum 'Ca2 Tb24 Ho14'
_symmetry_space_group_name_H-M 'I m -3 m'
_symmetry_Int_Tables_number 229
_symmetry_space_group_name_Hall '-I 4 2 3'
_cell_length_a 11.3638
_cell_length_b 11.3638
_cell_length_c 11.3638
_cell_angle_alpha 90.00
_cell_angle_beta 90.00
_cell_angle_gamma 90.00
loop_
_atom_site_label
_atom_site_type_symbol
_atom_site_fract_x
_atom_site_fract_y
_atom_site_fract_z
Ca1 Ca 0.0000 0.0000 0.0000
Tb1 Tb 0.0000 0.2604 0.2604
Ho1 Ho 0.0000 0.0000 0.5000
Ho2 Ho 0.2500 0.2500 0.2500

***

# PBE CaTbHo14, optimized geometry
# DFT formation energy, eV per formula unit: 0.41
data_CaTbHo14
_chemical_formula_sum 'Ca2 Tb2 Ho28'
_symmetry_space_group_name_H-M 'A m m 2'
_symmetry_Int_Tables_number 38
_cell_length_a 11.2383
_cell_length_b 7.2329
_cell_length_c 12.5313
_cell_angle_alpha 90.00
_cell_angle_beta 90.00
_cell_angle_gamma 90.00
loop_
_symmetry_equiv_pos_as_xyz
'x,y,z'
'-x,-y,z'
'-x,y,z'
'x,-y,z'
'x,y+1/2,z+1/2'
'-x,-y+1/2,z+1/2'
'-x,y+1/2,z+1/2'
'x,-y+1/2,z+1/2'
loop_
_atom_site_label
_atom_site_type_symbol
_atom_site_fract_x
_atom_site_fract_y
_atom_site_fract_z
Ca1 Ca 0.0000 0.0000 0.0000
Tb1 Tb 0.0000 0.0000 0.4994
Ho1 Ho 0.0000 0.2491 0.2501
Ho2 Ho 0.2478 0.0000 0.3332
Ho3 Ho 0.2539 0.0000 0.8311
Ho4 Ho 0.2544 0.2469 0.5843
Ho5 Ho 0.5000 0.0000 0.9998
Ho6 Ho 0.5000 0.0000 0.5000
Ho7 Ho 0.5000 0.2500 0.2499

***

# PBE CaTb4Ho15, optimized geometry
# DFT formation energy, eV per formula unit: 0.80
data_CaTb4Ho15
_chemical_formula_sum 'Ca1 Tb4 Ho15'
_symmetry_space_group_name_H-M 'P 4/m m m'
_symmetry_Int_Tables_number 123
_symmetry_space_group_name_Hall '-P 4 2'
_cell_length_a 5.0113
_cell_length_b 5.0113
_cell_length_c 25.1103
_cell_angle_alpha 90.00
_cell_angle_beta 90.00
_cell_angle_gamma 90.00
loop_
_atom_site_label
_atom_site_type_symbol
_atom_site_fract_x
_atom_site_fract_y
_atom_site_fract_z
Ca1 Ca 0.0000 0.0000 0.0000
Tb1 Tb 0.0000 0.0000 0.2015
Tb2 Tb 0.0000 0.0000 0.4006
Ho1 Ho 0.0000 0.5000 0.1045
Ho2 Ho 0.0000 0.5000 0.3016
Ho3 Ho 0.0000 0.5000 0.5000
Ho4 Ho 0.5000 0.5000 0.0000
Ho5 Ho 0.5000 0.5000 0.2011
Ho6 Ho 0.5000 0.5000 0.4004

***

# PBE CaTb6Ho5, optimized geometry
# DFT formation energy, eV per formula unit: 0.58
data_CaTb6Ho5
_chemical_formula_sum 'Ca2 Tb12 Ho10'
_symmetry_space_group_name_H-M 'C 1 2/m 1'
_symmetry_Int_Tables_number 12
_cell_length_a 6.1789
_cell_length_b 10.7016
_cell_length_c 11.7837
_cell_angle_alpha 90.00
_cell_angle_beta 100.06
_cell_angle_gamma 90.00
loop_
_symmetry_equiv_pos_as_xyz
'x,y,z'
'-x,-y,-z'
'-x,y,-z'
'x,-y,z'
'x+1/2,y+1/2,z'
'-x+1/2,-y+1/2,-z'
'-x+1/2,y+1/2,-z'
'x+1/2,-y+1/2,z'
loop_
_atom_site_label
_atom_site_type_symbol
_atom_site_fract_x
_atom_site_fract_y
_atom_site_fract_z
Ca1 Ca 0.0000 0.0000 0.0000
Tb1 Tb 0.2449 0.5000 0.2536
Tb2 Tb 0.2455 0.3301 0.7467
Ho1 Ho 0.0000 0.1659 0.5000
Ho2 Ho 0.0000 0.3334 0.0000
Ho3 Ho 0.0000 0.5000 0.5000

***

> What is the DFT formation energy in the third record?

0.80 eV per formula unit

***

> Which value of DFT formation energy does entry 4 give?

0.58 eV per formula unit

***

> DFT formation energy of number 2 (CaTbHo14)?

0.41 eV per formula unit

***

> Look up the DFT formation energy of the fourth one.

0.58 eV per formula unit